[1]
Here is an optimized crystal structure of Si2Pt2O5 from the Open Quantum Materials Database. Energies are from GGA-PBE.

final energy = -47.7 eV per cell
ΔE to the lowest computed polymorph = 0.756 eV/atom
magnetization = 0.0 μB per formula unit
crystal system = tetragonal
space-group type = No. 123

Cell and atoms, written as POSCAR:
```
Si2Pt2O5
1.0
3.9320 0.0000 0.0000
0.0000 3.9320 0.0000
0.0000 0.0000 6.8044
Si Pt O
2 2 5
Direct
0.0000 0.0000 0.0000
0.0000 0.0000 0.5000
0.5000 0.5000 0.1906
0.5000 0.5000 0.8094
0.0000 0.5000 0.2463
0.0000 0.5000 0.7537
0.5000 0.0000 0.2463
0.5000 0.0000 0.7537
0.5000 0.5000 0.5000
```

---

[2]
Here is an optimized crystal structure of SmPtO3 from the Open Quantum Materials Database. Energies are from GGA-PBE.

final energy = -67.9 eV per cell
magnetization = 0.0 μB per formula unit
crystal system = tetragonal
space-group type = No. 140

Cell and atoms, written as POSCAR:
```
SmPtO3
1.0
-2.7476 2.7476 4.2014
2.7476 -2.7476 4.2014
2.7476 2.7476 -4.2014
Sm Pt O
2 2 6
Direct
0.2500 0.7500 0.5000
0.7500 0.2500 0.5000
0.0000 0.0000 0.0000
0.5000 0.5000 0.0000
0.1630 0.6630 0.8259
0.2500 0.2500 0.0000
0.3370 0.1630 0.5000
0.6630 0.8370 0.5000
0.7500 0.7500 0.0000
0.8370 0.3370 0.1741
```

---

[3]
Here is an optimized crystal structure of SnPtO4 from the Open Quantum Materials Database. Energies are from GGA-PBE.

final energy = -35.9 eV per cell
magnetization = 0.0 μB per formula unit
crystal system = monoclinic
space-group type = No. 10

Cell and atoms, written as POSCAR:
```
SnPtO4
1.0
4.6383 0.0000 0.0000
0.0000 3.2305 0.0000
-0.0336 0.0000 4.6563
Sn Pt O
1 1 4
Direct
0.0000 0.0000 0.0000
0.5000 0.5000 0.5000
0.1956 0.5000 0.1943
0.3132 0.0000 0.6855
0.6868 0.0000 0.3145
0.8044 0.5000 0.8057
```

---

[4]
Here is an optimized crystal structure of Sr2PtO4 from the Open Quantum Materials Database. Energies are from GGA-PBE.

final energy = -77.3 eV per cell
ΔE to the lowest computed polymorph = 0.523 eV/atom
magnetization = 2.0 μB per formula unit
crystal system = cubic
space-group type = No. 227

Cell and atoms, written as POSCAR:
```
Sr2PtO4
1.0
0.0000 4.8707 4.8707
4.8707 0.0000 4.8707
4.8707 4.8707 0.0000
Sr Pt O
4 2 8
Direct
0.0000 0.0000 0.0000
0.0000 0.0000 0.5000
0.0000 0.5000 0.0000
0.5000 0.0000 0.0000
0.3750 0.3750 0.3750
0.6250 0.6250 0.6250
0.2550 0.2550 0.2550
0.2550 0.2550 0.7349
0.2550 0.7349 0.2550
0.2651 0.7450 0.7450
0.7349 0.2550 0.2550
0.7450 0.2651 0.7450
0.7450 0.7450 0.2651
0.7450 0.7450 0.7450
```

---

[5]
Here is an optimized crystal structure of SrPt2O4 from the Open Quantum Materials Database. Energies are from GGA-PBE.

final energy = -84.7 eV per cell
magnetization = 0.0 μB per formula unit
crystal system = tetragonal
space-group type = No. 88

Cell and atoms, written as POSCAR:
```
SrPt2O4
1.0
-3.0234 3.0234 5.1432
3.0234 -3.0234 5.1432
3.0234 3.0234 -5.1432
Sr Pt O
2 4 8
Direct
0.3750 0.1250 0.2500
0.6250 0.8750 0.7500
0.0000 0.0000 0.5000
0.0000 0.5000 0.0000
0.0000 0.5000 0.5000
0.5000 0.5000 0.0000
0.0157 0.1368 0.3128
0.2029 0.5157 0.3790
0.3240 0.7029 0.1872
0.3632 0.1760 0.8790
0.6368 0.8240 0.1210
0.6760 0.2971 0.8128
0.7971 0.4843 0.6210
0.9843 0.8632 0.6872
```

---

[6]
Here is an optimized crystal structure of Sr2PtO4 from the Open Quantum Materials Database. Energies are from GGA-PBE.

final energy = -84.4 eV per cell
ΔE to the lowest computed polymorph = 0.016 eV/atom
magnetization = 0.0 μB per formula unit
crystal system = orthorhombic
space-group type = No. 55

Cell and atoms, written as POSCAR:
```
Sr2PtO4
1.0
6.0457 0.0000 0.0000
0.0000 9.8963 0.0000
0.0000 0.0000 3.3472
Sr Pt O
4 2 8
Direct
0.0760 0.1800 0.0000
0.4240 0.6800 0.0000
0.5760 0.3200 0.0000
0.9240 0.8200 0.0000
0.0000 0.5000 0.5000
0.5000 0.0000 0.5000
0.1318 0.6912 0.5000
0.1974 0.4499 0.0000
0.3026 0.9499 0.0000
0.3682 0.1912 0.5000
0.6318 0.8088 0.5000
0.6974 0.0501 0.0000
0.8026 0.5501 0.0000
0.8682 0.3088 0.5000
```

---

[7]
Here is an optimized crystal structure of Sr2PtO4 from the Open Quantum Materials Database. Energies are from GGA-PBE.

final energy = -83.7 eV per cell
ΔE to the lowest computed polymorph = 0.065 eV/atom
magnetization = 0.0 μB per formula unit
crystal system = tetragonal
space-group type = No. 139

Cell and atoms, written as POSCAR:
```
Sr2PtO4
1.0
3.9859 0.0000 0.0000
0.0000 3.9859 0.0000
0.0000 0.0000 12.4740
Sr Pt O
4 2 8
Direct
0.0000 0.0000 0.1446
0.0000 0.0000 0.8554
0.5000 0.5000 0.3554
0.5000 0.5000 0.6446
0.0000 0.0000 0.5000
0.5000 0.5000 0.0000
0.0000 0.0000 0.3358
0.0000 0.0000 0.6642
0.0000 0.5000 0.0000
0.0000 0.5000 0.5000
0.5000 0.0000 0.0000
0.5000 0.0000 0.5000
0.5000 0.5000 0.1642
0.5000 0.5000 0.8358
```

---

[8]
Here is an optimized crystal structure of Sr2Pt2O5 from the Open Quantum Materials Database. Energies are from GGA-PBE.

final energy = -47.4 eV per cell
ΔE to the lowest computed polymorph = 0.577 eV/atom
magnetization = 0.4 μB per formula unit
crystal system = tetragonal
space-group type = No. 123

Cell and atoms, written as POSCAR:
```
Sr2Pt2O5
1.0
3.5809 0.0000 0.0000
0.0000 3.5809 0.0000
0.0000 0.0000 10.1604
Sr Pt O
2 2 5
Direct
0.0000 0.0000 0.2341
0.0000 0.0000 0.7659
0.5000 0.5000 0.0000
0.5000 0.5000 0.5000
0.0000 0.0000 0.0000
0.0000 0.5000 0.3866
0.0000 0.5000 0.6134
0.5000 0.0000 0.3866
0.5000 0.0000 0.6134
```

---

[9]
Here is an optimized crystal structure of Sr2PtO4 from the Open Quantum Materials Database. Energies are from GGA-PBE.

final energy = -84.6 eV per cell
ΔE to the lowest computed polymorph = 0.000 eV/atom
magnetization = 0.0 μB per formula unit
crystal system = orthorhombic
space-group type = No. 64

Cell and atoms, written as POSCAR:
```
Sr2PtO4
1.0
2.7492 -6.3234 0.0000
2.7492 6.3234 0.0000
0.0000 0.0000 5.7382
Sr Pt O
4 2 8
Direct
0.1499 0.8501 0.9865
0.3501 0.6499 0.4865
0.6499 0.3501 0.5135
0.8501 0.1499 0.0135
0.0000 0.0000 0.5000
0.5000 0.5000 0.0000
0.1619 0.8381 0.5538
0.2125 0.2875 0.7500
0.2875 0.2125 0.2500
0.3381 0.6619 0.0538
0.6619 0.3381 0.9462
0.7125 0.7875 0.7500
0.7875 0.7125 0.2500
0.8381 0.1619 0.4462
```

---

[10]
Here is an optimized crystal structure of Sr2Pt2O5 from the Open Quantum Materials Database. Energies are from GGA-PBE.

final energy = -52.6 eV per cell
ΔE to the lowest computed polymorph = 0.000 eV/atom
magnetization = 0.0 μB per formula unit
crystal system = tetragonal
space-group type = No. 123

Cell and atoms, written as POSCAR:
```
Sr2Pt2O5
1.0
4.0355 0.0000 0.0000
0.0000 4.0355 0.0000
0.0000 0.0000 7.1301
Sr Pt O
2 2 5
Direct
0.0000 0.0000 0.0000
0.0000 0.0000 0.5000
0.5000 0.5000 0.1918
0.5000 0.5000 0.8082
0.0000 0.5000 0.2395
0.0000 0.5000 0.7605
0.5000 0.0000 0.2395
0.5000 0.0000 0.7605
0.5000 0.5000 0.5000
```

---

[11]
Here is an optimized crystal structure of Ta2Pt2O5 from the Open Quantum Materials Database. Energies are from GGA-PBE.

final energy = -71.4 eV per cell
ΔE to the lowest computed polymorph = 0.000 eV/atom
magnetization = 0.7 μB per formula unit
crystal system = tetragonal
space-group type = No. 123

Cell and atoms, written as POSCAR:
```
Ta2Pt2O5
1.0
3.6232 0.0000 0.0000
0.0000 3.6232 0.0000
0.0000 0.0000 9.0120
Ta Pt O
2 2 5
Direct
0.0000 0.0000 0.2147
0.0000 0.0000 0.7853
0.5000 0.5000 0.0000
0.5000 0.5000 0.5000
0.0000 0.0000 0.0000
0.0000 0.5000 0.3013
0.0000 0.5000 0.6987
0.5000 0.0000 0.3013
0.5000 0.0000 0.6987
```

---

[12]
Here is an optimized crystal structure of Ta2Pt2O5 from the Open Quantum Materials Database. Energies are from GGA-PBE.

final energy = -66.1 eV per cell
ΔE to the lowest computed polymorph = 0.595 eV/atom
magnetization = 0.5 μB per formula unit
crystal system = tetragonal
space-group type = No. 123

Cell and atoms, written as POSCAR:
```
Ta2Pt2O5
1.0
3.4025 0.0000 0.0000
0.0000 3.4025 0.0000
0.0000 0.0000 8.4796
Ta Pt O
2 2 5
Direct
0.0000 0.0000 0.0000
0.0000 0.0000 0.5000
0.5000 0.5000 0.1590
0.5000 0.5000 0.8410
0.0000 0.5000 0.3280
0.0000 0.5000 0.6720
0.5000 0.0000 0.3280
0.5000 0.0000 0.6720
0.5000 0.5000 0.5000
```

---

[13]
Here is an optimized crystal structure of Ta2PtO4 from the Open Quantum Materials Database. Energies are from GGA-PBE.

final energy = -119.0 eV per cell
magnetization = 0.0 μB per formula unit
crystal system = cubic
space-group type = No. 227

Cell and atoms, written as POSCAR:
```
Ta2PtO4
1.0
0.0000 4.4862 4.4862
4.4862 0.0000 4.4862
4.4862 4.4862 0.0000
Ta Pt O
4 2 8
Direct
0.0000 0.0000 0.0000
0.0000 0.0000 0.5000
0.0000 0.5000 0.0000
0.5000 0.0000 0.0000
0.3750 0.3750 0.3750
0.6250 0.6250 0.6250
0.1926 0.7691 0.7691
0.2309 0.2309 0.2309
0.2309 0.2309 0.8074
0.2309 0.8074 0.2309
0.7691 0.1926 0.7691
0.7691 0.7691 0.1926
0.7691 0.7691 0.7691
0.8074 0.2309 0.2309
```

---

[14]
Here is an optimized crystal structure of Ta2PtO7 from the Open Quantum Materials Database. Energies are from GGA-PBE.

final energy = -164.9 eV per cell
magnetization = 0.0 μB per formula unit
crystal system = monoclinic
space-group type = No. 12

Cell and atoms, written as POSCAR:
```
Ta2PtO7
1.0
5.4801 -1.5260 0.0000
5.4801 1.5260 0.0000
-4.8430 0.0000 14.4537
Ta Pt O
4 2 14
Direct
0.1591 0.1591 0.4073
0.2647 0.2647 0.9065
0.7353 0.7353 0.0935
0.8409 0.8409 0.5927
0.4601 0.4601 0.2722
0.5399 0.5399 0.7278
0.0295 0.0295 0.6300
0.0571 0.0571 0.8154
0.1108 0.1108 0.0796
0.2688 0.2688 0.2007
0.3062 0.3062 0.6622
0.3330 0.3330 0.0486
0.3440 0.3440 0.5008
0.6560 0.6560 0.4992
0.6670 0.6670 0.9514
0.6938 0.6938 0.3378
0.7312 0.7312 0.7993
0.8892 0.8892 0.9204
0.9429 0.9429 0.1846
0.9705 0.9705 0.3700
```

---

[15]
Here is an optimized crystal structure of Ta2PtO6 from the Open Quantum Materials Database. Energies are from GGA-PBE.

final energy = -77.9 eV per cell
magnetization = 0.0 μB per formula unit
crystal system = monoclinic
space-group type = No. 12

Cell and atoms, written as POSCAR:
```
Ta2PtO6
1.0
4.5017 -1.4614 0.0000
4.5017 1.4614 0.0000
-2.7788 0.0000 7.7433
Ta Pt O
2 1 6
Direct
0.2000 0.2000 0.3054
0.8000 0.8000 0.6946
0.5000 0.5000 0.0000
0.1608 0.1608 0.5432
0.2662 0.2662 0.8566
0.4776 0.4776 0.7422
0.5224 0.5224 0.2578
0.7338 0.7338 0.1434
0.8392 0.8392 0.4568
```

---

[16]
Here is an optimized crystal structure of TaPtO3 from the Open Quantum Materials Database. Energies are from GGA-PBE.

final energy = -79.4 eV per cell
magnetization = 0.6 μB per formula unit
crystal system = trigonal
space-group type = No. 167

Cell and atoms, written as POSCAR:
```
TaPtO3
1.0
2.6229 1.5143 5.0159
-2.6229 1.5143 5.0159
0.0000 -3.0287 5.0159
Ta Pt O
2 2 6
Direct
0.0000 0.0000 0.0000
0.5000 0.5000 0.5000
0.2500 0.2500 0.2500
0.7500 0.7500 0.7500
0.1597 0.7500 0.3403
0.2500 0.6597 0.8403
0.3403 0.1597 0.7500
0.6597 0.8403 0.2500
0.7500 0.3403 0.1597
0.8403 0.2500 0.6597
```

---

[17]
Here is an optimized crystal structure of Tc2PtO4 from the Open Quantum Materials Database. Energies are from GGA-PBE.

final energy = -100.6 eV per cell
magnetization = 3.8 μB per formula unit
crystal system = cubic
space-group type = No. 227

Cell and atoms, written as POSCAR:
```
Tc2PtO4
1.0
0.0000 4.4010 4.4010
4.4010 0.0000 4.4010
4.4010 4.4010 0.0000
Tc Pt O
4 2 8
Direct
0.0000 0.0000 0.0000
0.0000 0.0000 0.5000
0.0000 0.5000 0.0000
0.5000 0.0000 0.0000
0.3750 0.3750 0.3750
0.6250 0.6250 0.6250
0.2011 0.7663 0.7663
0.2337 0.2337 0.2337
0.2337 0.2337 0.7989
0.2337 0.7989 0.2337
0.7663 0.2011 0.7663
0.7663 0.7663 0.2011
0.7663 0.7663 0.7663
0.7989 0.2337 0.2337
```

---

[18]
Here is an optimized crystal structure of Te2PtO4 from the Open Quantum Materials Database. Energies are from GGA-PBE.

final energy = -64.8 eV per cell
magnetization = 0.8 μB per formula unit
crystal system = tetragonal
space-group type = No. 141

Cell and atoms, written as POSCAR:
```
Te2PtO4
1.0
-3.3986 3.3986 4.8009
3.3986 -3.3986 4.8009
3.3986 3.3986 -4.8009
Te Pt O
4 2 8
Direct
0.0000 0.0000 0.0000
0.0000 0.0000 0.5000
0.0000 0.5000 0.0000
0.5000 0.0000 0.5000
0.3750 0.6250 0.7500
0.6250 0.3750 0.2500
0.2170 0.2390 0.9780
0.2390 0.2170 0.4780
0.2390 0.7610 0.0220
0.2390 0.7610 0.4780
0.7610 0.2390 0.5220
0.7610 0.2390 0.9780
0.7610 0.7830 0.5220
0.7830 0.7610 0.0220
```

---

[19]
Here is an optimized crystal structure of Te2Pt2O5 from the Open Quantum Materials Database. Energies are from GGA-PBE.

final energy = -41.7 eV per cell
ΔE to the lowest computed polymorph = 0.120 eV/atom
magnetization = 1.2 μB per formula unit
crystal system = tetragonal
space-group type = No. 123

Cell and atoms, written as POSCAR:
```
Te2Pt2O5
1.0
4.0775 0.0000 0.0000
0.0000 4.0775 0.0000
0.0000 0.0000 7.1814
Te Pt O
2 2 5
Direct
0.0000 0.0000 0.2312
0.0000 0.0000 0.7688
0.5000 0.5000 0.0000
0.5000 0.5000 0.5000
0.0000 0.0000 0.5000
0.0000 0.5000 0.3093
0.0000 0.5000 0.6907
0.5000 0.0000 0.3093
0.5000 0.0000 0.6907
```

---

[20]
Here is an optimized crystal structure of TePtO3 from the Open Quantum Materials Database. Energies are from GGA-PBE.

final energy = -49.3 eV per cell
magnetization = 1.4 μB per formula unit
crystal system = trigonal
space-group type = No. 167

Cell and atoms, written as POSCAR:
```
TePtO3
1.0
2.8707 1.6574 4.6557
-2.8707 1.6574 4.6557
0.0000 -3.3148 4.6557
Te Pt O
2 2 6
Direct
0.0000 0.0000 0.0000
0.5000 0.5000 0.5000
0.2500 0.2500 0.2500
0.7500 0.7500 0.7500
0.1107 0.7500 0.3893
0.2500 0.6107 0.8893
0.3893 0.1107 0.7500
0.6107 0.8893 0.2500
0.7500 0.3893 0.1107
0.8893 0.2500 0.6107
```